Cu2Ag3 GGA-PBE optimized geometry; formation enthalpy at 0 K = 0.467 eV per formula unit; space group = C2/m (12)
1.0
7.2111 -1.9249 0.0000
7.2111 1.9249 0.0000
-1.0517 0.0000 5.6037
Cu Ag
4 6
Cartesian
-0.2303 0.0000 1.4204
2.5194 0.0000 1.9992
10.8511 0.0000 3.6045
13.6008 0.0000 4.1833
2.0233 0.0000 4.7087
5.2987 0.0000 2.5651
4.8087 0.0000 5.3156
8.5618 0.0000 0.2881
8.0718 0.0000 3.0386
11.3472 0.0000 0.8950